1:
# Ce2LuTe

A relaxed structure of Ce2LuTe (PBE-GGA, Alexandria).

Summary:
DOS at the Fermi energy = 8.62 states/eV per cell

Lattice parameters (Å, degrees): 4.1688 4.1688 6.6577 90.00 90.00 90.00
Closest atoms and distances in Å follow each position.
Positions (direct):
Lu (0.5000, 0.5000, 0.0000)  2 Te 3.33, 8 Ce 3.56
Te (0.5000, 0.5000, 0.5000)  8 Ce 3.23, 2 Lu 3.33
Ce (0.0000, 0.0000, 0.6990)  1 Ce 2.65
Ce (0.0000, 0.0000, 0.3010)  1 Ce 2.65

***

2:
# Ce2LuTe

A relaxed structure of Ce2LuTe (PBE-GGA, Alexandria).

Summary:
DOS at the Fermi energy = 13.35 states/eV per cell

Lattice parameters (Å, degrees): 5.4361 5.4361 5.4345 59.99 59.99 60.00
Closest atoms and distances in Å follow each position.
Positions (direct):
Lu (0.5000, 0.5000, 0.5000)  8 Ce 3.33
Te (0.0000, 0.0000, 0.0000)  8 Ce 3.33
Ce (0.2501, 0.2501, 0.2498)  4 Lu 3.33, 4 Te 3.33
Ce (0.7499, 0.7499, 0.7502)  4 Lu 3.33, 4 Te 3.33

***

Computed relative energies in units of kJ/mol of atoms: 1 0.0; 2 28.9